Material: YScAl2Cl
Method: DFT, GGA-PBE
State: relaxed

Computed properties:
total moment: 0.000 Bohr magnetons per cell
N(E_F): 3.96 states/eV/f.u.
uncorrected formation energy: -0.28 eV/f.u.

a = 5.010 Å, b = 5.010 Å, c = 4.707 Å
α = 90.00°, β = 90.00°, γ = 90.00°
Fractional positions:
1 Y 0.000 0.000 0.000
2 Sc 0.500 0.500 0.000
3 Al 0.000 0.500 0.500
4 Al 0.500 0.000 0.500
5 Cl 0.500 0.500 0.500